Entry from Alexandria: a relaxed NdAlGaNi crystal (PBE-GGA).

The value obtained for the magnetic moment is 0.00 Bohr magnetons per cell. The density of states at the Fermi level comes out at 7.63 states/eV per cell. The calculation puts the formation enthalpy at 0 K at -546 meV/atom.

The space group is R3m (No. 160, hexagonal axes) and the conventional cell measures 4.1202, 4.1202 and 16.0680 Å, with angles of 90.00, 90.00 and 120.00 degrees. The asymmetric unit holds Nd at (0.0000, 0.0000, 0.0000), Al at (0.0000, 0.0000, 0.7953), Ga at (0.0000, 0.0000, 0.2091) and Ni at (0.0000, 0.0000, 0.4988).